Entry one
First-principles (PBE) data for an optimized crystal structure of PdW3Au, as listed in Alexandria via LeMat-Bulk.

```
PdW3Au
1.0
4.703 0.000 0.000
0.000 4.703 0.000
0.000 0.000 4.703
Pd W Au
1 3 1
direct
0.000 0.000 0.000
0.000 0.000 0.500
0.000 0.500 0.000
0.500 0.000 0.000
0.500 0.500 0.500
```

Calculated values
The symmetry is Pm-3m, No. 221.

Entry two
First-principles (PBE) data for an optimized crystal structure of PdW3Au, as listed in Alexandria via LeMat-Bulk.

```
PdW3Au
1.0
4.804 0.000 0.000
0.000 4.804 0.000
0.000 0.000 4.804
Pd W Au
1 3 1
direct
0.000 0.000 0.000
0.000 0.500 0.500
0.500 0.000 0.500
0.500 0.500 0.000
0.500 0.500 0.500
```

Calculated values
The symmetry is Pm-3m, No. 221.

Relative stability in kJ/mol of atoms, measured from the most stable structure: entry one 0.0; entry two 41.6

Entry one
First-principles (PBE) data for an optimized crystal structure of PdWAu3, as listed in Alexandria via LeMat-Bulk.

```
PdWAu3
1.0
4.950 0.000 0.000
0.000 4.950 0.000
0.000 0.000 4.950
Pd W Au
1 1 3
direct
0.000 0.000 0.000
0.500 0.500 0.500
0.000 0.000 0.500
0.000 0.500 0.000
0.500 0.000 0.000
```

Calculated values
The symmetry is Pm-3m, No. 221.

Entry two
First-principles (PBE) data for an optimized crystal structure of PdWAu3, as listed in Alexandria via LeMat-Bulk.

```
PdWAu3
1.0
5.013 0.000 0.000
0.000 5.013 0.000
0.000 0.000 5.013
Pd W Au
1 1 3
direct
0.000 0.000 0.000
0.500 0.500 0.500
0.000 0.500 0.500
0.500 0.000 0.500
0.500 0.500 0.000
```

Calculated values
The symmetry is Pm-3m, No. 221.

Relative stability in kJ/mol of atoms, measured from the most stable structure: entry one 23.6; entry two 0.0

Entry one
First-principles (PBE) data for an optimized crystal structure of PdW2Au2, as listed in Alexandria via LeMat-Bulk.

```
PdW2Au2
1.0
7.968 0.000 0.000
0.000 7.968 0.000
0.000 0.000 2.805
Pd W Au
2 4 4
direct
0.000 0.000 0.000
0.500 0.500 0.000
0.116 0.384 0.000
0.384 0.884 0.000
0.616 0.116 0.000
0.884 0.616 0.000
0.177 0.677 0.500
0.323 0.177 0.500
0.677 0.823 0.500
0.823 0.323 0.500
```

Calculated values
The symmetry is P4/mbm, No. 127.

Entry two
First-principles (PBE) data for an optimized crystal structure of PdW2Au2, as listed in Alexandria via LeMat-Bulk.

```
PdW2Au2
1.0
3.748 0.000 0.000
0.000 3.748 0.000
0.000 0.000 13.256
Pd W Au
2 4 4
direct
0.000 0.000 0.000
0.500 0.500 0.500
0.000 0.000 0.413
0.000 0.000 0.587
0.500 0.500 0.087
0.500 0.500 0.913
0.000 0.500 0.250
0.000 0.500 0.750
0.500 0.000 0.250
0.500 0.000 0.750
```

Calculated values
The symmetry is I4/mmm, No. 139.

Relative stability in kJ/mol of atoms, measured from the most stable structure: entry one 0.0; entry two 19.7

Entry one
First-principles (PBE) data for an optimized crystal structure of Y2Pd5Au, as listed in Alexandria via LeMat-Bulk.

```
Y2Pd5Au
1.0
5.840 0.000 0.000
0.000 11.674 0.000
0.000 0.000 4.205
Y Pd Au
4 10 2
direct
0.234 0.130 0.000
0.266 0.630 0.000
0.734 0.370 0.000
0.766 0.870 0.000
0.000 0.000 0.500
0.014 0.750 0.500
0.240 0.377 0.000
0.260 0.877 0.000
0.486 0.250 0.500
0.500 0.500 0.500
0.514 0.750 0.500
0.740 0.123 0.000
0.760 0.623 0.000
0.986 0.250 0.500
0.000 0.500 0.500
0.500 0.000 0.500
```

Calculated values
The symmetry is Pbam, No. 55.

Entry two
First-principles (PBE) data for an optimized crystal structure of Y2Pd5Au, as listed in Alexandria via LeMat-Bulk.

```
Y2Pd5Au
1.0
5.943 0.000 0.000
0.000 5.943 0.000
0.000 0.000 8.127
Y Pd Au
4 10 2
direct
0.000 0.500 0.000
0.000 0.500 0.500
0.500 0.000 0.000
0.500 0.000 0.500
0.000 0.000 0.000
0.250 0.250 0.250
0.250 0.250 0.750
0.250 0.750 0.250
0.250 0.750 0.750
0.500 0.500 0.500
0.750 0.250 0.250
0.750 0.250 0.750
0.750 0.750 0.250
0.750 0.750 0.750
0.000 0.000 0.500
0.500 0.500 0.000
```

Calculated values
The symmetry is I4/mmm, No. 139.

Relative stability in kJ/mol of atoms, measured from the most stable structure: entry one 0.0; entry two 0.8

Entry one
First-principles (PBE) data for an optimized crystal structure of YPd7Au4, as listed in Alexandria via LeMat-Bulk.

```
YPd7Au4
1.0
4.963 0.000 0.000
-0.011 5.812 0.000
-2.440 -1.563 7.073
Y Pd Au
1 7 4
direct
0.000 0.000 0.000
0.000 0.500 0.000
0.001 0.668 0.669
0.496 0.918 0.668
0.500 0.255 0.000
0.500 0.745 0.000
0.504 0.082 0.332
0.999 0.332 0.331
0.003 0.172 0.664
0.495 0.578 0.330
0.505 0.422 0.670
0.997 0.828 0.336
```

Calculated values
The symmetry is P-1, No. 2.

Entry two
First-principles (PBE) data for an optimized crystal structure of YPd7Au4, as listed in Alexandria via LeMat-Bulk.

```
YPd7Au4
1.0
5.120 -2.502 0.000
5.120 2.502 0.000
-4.917 0.000 8.605
Y Pd Au
1 7 4
direct
0.000 0.000 0.000
0.111 0.111 0.455
0.290 0.290 0.084
0.343 0.343 0.380
0.500 0.500 0.000
0.657 0.657 0.620
0.710 0.710 0.916
0.889 0.889 0.545
0.186 0.186 0.772
0.412 0.412 0.685
0.588 0.588 0.315
0.814 0.814 0.228
```

Calculated values
The symmetry is C2/m, No. 12.

Relative stability in kJ/mol of atoms, measured from the most stable structure: entry one 0.0; entry two 21.5

Entry one
First-principles (PBE) data for an optimized crystal structure of YPd2Au, as listed in Alexandria via LeMat-Bulk.

```
YPd2Au
1.0
6.695 0.000 0.000
0.000 6.695 0.000
0.000 0.000 6.695
Y Pd Au
4 8 4
direct
0.000 0.000 0.000
0.000 0.500 0.500
0.500 0.000 0.500
0.500 0.500 0.000
0.250 0.250 0.250
0.250 0.250 0.750
0.250 0.750 0.250
0.250 0.750 0.750
0.750 0.250 0.250
0.750 0.250 0.750
0.750 0.750 0.250
0.750 0.750 0.750
0.000 0.000 0.500
0.000 0.500 0.000
0.500 0.000 0.000
0.500 0.500 0.500
```

Calculated values
The symmetry is Fm-3m, No. 225.

Entry two
First-principles (PBE) data for an optimized crystal structure of YPd2Au, as listed in Alexandria via LeMat-Bulk.

```
YPd2Au
1.0
3.738 0.000 0.000
0.000 4.318 0.000
0.000 0.000 10.784
Y Pd Au
2 4 2
direct
0.000 0.000 0.000
0.500 0.500 0.500
0.000 0.000 0.252
0.000 0.000 0.748
0.500 0.500 0.248
0.500 0.500 0.752
0.000 0.000 0.500
0.500 0.500 0.000
```

Calculated values
The symmetry is Immm, No. 71.

Entry three
First-principles (PBE) data for an optimized crystal structure of YPd2Au, as listed in Alexandria via LeMat-Bulk.

```
YPd2Au
1.0
4.155 0.000 0.000
0.000 4.155 0.000
0.000 0.000 18.992
Y Pd Au
4 8 4
direct
0.000 0.000 0.000
0.000 0.500 0.250
0.500 0.000 0.750
0.500 0.500 0.500
0.233 0.250 0.625
0.250 0.733 0.875
0.250 0.767 0.375
0.267 0.250 0.125
0.733 0.750 0.125
0.750 0.233 0.375
0.750 0.267 0.875
0.767 0.750 0.625
0.000 0.000 0.500
0.000 0.500 0.750
0.500 0.000 0.250
0.500 0.500 0.000
```

Calculated values
The symmetry is I-42d, No. 122.

Entry four
First-principles (PBE) data for an optimized crystal structure of YPd2Au, as listed in Alexandria via LeMat-Bulk.

```
YPd2Au
1.0
4.245 0.000 0.000
0.000 4.245 0.000
0.000 0.000 4.064
Y Pd Au
1 2 1
direct
0.000 0.000 0.000
0.000 0.500 0.500
0.500 0.000 0.500
0.500 0.500 0.000
```

Calculated values
The symmetry is P4/mmm, No. 123.

Relative stability in kJ/mol of atoms, measured from the most stable structure: entry one 9.0; entry two 62.7; entry three 34.1; entry four 0.0

Entry one
First-principles (PBE) data for an optimized crystal structure of Y2Pd6Au, as listed in Alexandria via LeMat-Bulk.

```
Y2Pd6Au
1.0
6.113 -2.063 0.000
6.113 2.063 0.000
-2.108 0.000 6.411
Y Pd Au
2 6 1
direct
0.066 0.066 0.325
0.934 0.934 0.675
0.171 0.171 0.000
0.275 0.275 0.675
0.387 0.387 0.328
0.613 0.613 0.672
0.725 0.725 0.325
0.829 0.829 0.000
0.500 0.500 0.000
```

Calculated values
The symmetry is C2/m, No. 12.

Entry two
First-principles (PBE) data for an optimized crystal structure of Y2Pd6Au, as listed in Alexandria via LeMat-Bulk.

```
Y2Pd6Au
1.0
4.952 -2.767 0.000
4.952 2.767 0.000
-0.876 0.000 6.223
Y Pd Au
2 6 1
direct
0.167 0.167 0.166
0.833 0.833 0.834
0.155 0.677 0.310
0.317 0.317 0.633
0.323 0.845 0.690
0.677 0.155 0.310
0.683 0.683 0.367
0.845 0.323 0.690
0.500 0.500 0.000
```

Calculated values
The symmetry is C2/m, No. 12.

Relative stability in kJ/mol of atoms, measured from the most stable structure: entry one 0.0; entry two 2.5

Entry one
First-principles (PBE) data for an optimized crystal structure of YPdAu3, as listed in Alexandria via LeMat-Bulk.

```
YPdAu3
1.0
4.951 0.000 0.000
0.000 5.634 0.000
-2.465 0.000 7.000
Y Pd Au
2 2 6
direct
0.102 0.250 0.203
0.898 0.750 0.797
0.127 0.750 0.255
0.873 0.250 0.745
0.307 0.501 0.614
0.307 0.999 0.614
0.484 0.250 0.964
0.516 0.750 0.036
0.693 0.001 0.386
0.693 0.499 0.386
```

Calculated values
The symmetry is P2_1/m, No. 11.

Entry two
First-principles (PBE) data for an optimized crystal structure of YPdAu3, as listed in Alexandria via LeMat-Bulk.

```
YPdAu3
1.0
7.540 0.000 0.000
0.000 5.814 0.000
-2.885 0.000 8.762
Y Pd Au
4 4 12
direct
0.207 0.003 0.303
0.207 0.497 0.803
0.793 0.503 0.197
0.793 0.997 0.697
0.385 0.248 0.596
0.385 0.252 0.096
0.615 0.748 0.904
0.615 0.752 0.404
0.002 0.750 0.000
0.002 0.750 0.500
0.239 0.501 0.311
0.239 0.999 0.811
0.396 0.750 0.098
0.396 0.750 0.598
0.604 0.250 0.402
0.604 0.250 0.902
0.761 0.001 0.189
0.761 0.499 0.689
0.998 0.250 0.000
0.998 0.250 0.500
```

Calculated values
The symmetry is P2_1/c, No. 14.

Relative stability in kJ/mol of atoms, measured from the most stable structure: entry one 5.8; entry two 0.0

Entry one
First-principles (PBE) data for an optimized crystal structure of YPdAu3, as listed in Alexandria via LeMat-Bulk.

```
YPdAu3
1.0
5.006 0.000 0.000
0.000 5.006 0.000
0.000 0.000 5.006
Y Pd Au
1 1 3
direct
0.000 0.000 0.000
0.500 0.500 0.500
0.000 0.500 0.500
0.500 0.000 0.500
0.500 0.500 0.000
```

Calculated values
The symmetry is Pm-3m, No. 221.

Entry two
First-principles (PBE) data for an optimized crystal structure of YPdAu3, as listed in Alexandria via LeMat-Bulk.

```
YPdAu3
1.0
5.371 0.000 0.000
0.000 5.371 0.000
0.000 0.000 5.371
Y Pd Au
1 1 3
direct
0.000 0.000 0.000
0.500 0.500 0.500
0.000 0.000 0.500
0.000 0.500 0.000
0.500 0.000 0.000
```

Calculated values
The symmetry is Pm-3m, No. 221.

Relative stability in kJ/mol of atoms, measured from the most stable structure: entry one 0.0; entry two 61.8

Entry one
First-principles (PBE) data for an optimized crystal structure of YPd5Au2, as listed in Alexandria via LeMat-Bulk.

```
YPd5Au2
1.0
4.121 0.000 0.000
0.000 4.121 0.000
0.000 0.000 16.199
Y Pd Au
2 10 4
direct
0.000 0.000 0.000
0.500 0.500 0.500
0.000 0.000 0.500
0.000 0.500 0.127
0.000 0.500 0.373
0.000 0.500 0.627
0.000 0.500 0.873
0.500 0.000 0.127
0.500 0.000 0.373
0.500 0.000 0.627
0.500 0.000 0.873
0.500 0.500 0.000
0.000 0.000 0.252
0.000 0.000 0.748
0.500 0.500 0.248
0.500 0.500 0.752
```

Calculated values
The symmetry is I4/mmm, No. 139.

Entry two
First-principles (PBE) data for an optimized crystal structure of YPd5Au2, as listed in Alexandria via LeMat-Bulk.

```
YPd5Au2
1.0
5.752 0.000 0.000
0.000 11.473 0.000
0.000 0.000 4.167
Y Pd Au
2 10 4
direct
0.000 0.000 0.000
0.500 0.500 0.000
0.000 0.500 0.000
0.022 0.250 0.000
0.239 0.875 0.500
0.261 0.375 0.500
0.478 0.750 0.000
0.500 0.000 0.000
0.522 0.250 0.000
0.739 0.625 0.500
0.761 0.125 0.500
0.978 0.750 0.000
0.228 0.630 0.500
0.272 0.130 0.500
0.728 0.870 0.500
0.772 0.370 0.500
```

Calculated values
The symmetry is Pbam, No. 55.

Relative stability in kJ/mol of atoms, measured from the most stable structure: entry one 0.5; entry two 0.0

Entry one
First-principles (PBE) data for an optimized crystal structure of YPd3Au, as listed in Alexandria via LeMat-Bulk.

```
YPd3Au
1.0
4.982 0.000 0.000
0.000 4.982 0.000
0.000 0.000 4.982
Y Pd Au
1 3 1
direct
0.000 0.000 0.000
0.000 0.000 0.500
0.000 0.500 0.000
0.500 0.000 0.000
0.500 0.500 0.500
```

Calculated values
The symmetry is Pm-3m, No. 221.

Entry two
First-principles (PBE) data for an optimized crystal structure of YPd3Au, as listed in Alexandria via LeMat-Bulk.

```
YPd3Au
1.0
4.510 0.000 0.000
0.000 6.018 0.000
0.000 0.000 7.004
Y Pd Au
2 6 2
direct
0.250 0.250 0.209
0.750 0.750 0.791
0.250 0.032 0.754
0.250 0.468 0.754
0.250 0.750 0.067
0.750 0.250 0.933
0.750 0.532 0.246
0.750 0.968 0.246
0.250 0.750 0.448
0.750 0.250 0.552
```

Calculated values
The symmetry is Pmmn, No. 59.

Relative stability in kJ/mol of atoms, measured from the most stable structure: entry one 116.9; entry two 0.0